1.
VASP calculation (GGA-PBE) on a geometry-optimized Be2FeBr structure.

a b c (Å): 4.0658 4.0658 4.0658
angles (deg): 60.00 60.00 60.00
Positions (direct):
Be  0.0000  0.0000  0.0000
Be  0.2500  0.2500  0.2500
Fe  0.7500  0.7500  0.7500
Br  0.5000  0.5000  0.5000

**Total DFT energy (no corrections)**: -0.1253 Ha/atom
**Spin magnetization**: 0.00 μB per cell
**Formation energy (no corrections)**: 0.986 eV/atom
**Relative energy among the computed polymorphs**: 0.717 eV/atom
**Space-group type**: F-43m, No. 216

---

2.
VASP calculation (GGA-PBE) on a geometry-optimized BH2Rh3 structure.

a b c (Å): 5.0311 5.0311 5.7997
angles (deg): 64.29 64.29 60.00
Positions (direct):
B  0.5000  0.5000  0.5000
B  0.0000  0.0000  0.0000
H  0.1743  0.1743  0.4771
H  0.3257  0.3257  0.0229
H  0.8257  0.8257  0.5229
H  0.6743  0.6743  0.9771
Rh  0.9240  0.5760  0.2500
Rh  0.2500  0.9240  0.2500
Rh  0.7500  0.0760  0.7500
Rh  0.4240  0.7500  0.7500
Rh  0.0760  0.4240  0.7500
Rh  0.5760  0.2500  0.2500

**Total DFT energy (no corrections)**: -0.2209 Ha/atom
**Spin magnetization**: 0.00 μB per cell
**Space-group type**: R-3c, No. 167

---

Q: Which of these has the highest total DFT energy (no corrections)?
A: Be2FeBr